1.
The following is a DFT calculation (GGA-PBE) of a geometry-optimized Th5FeBi4 structure.

Properties
SG: I4/m, No. 87
Energy of formation from the pure elements: -0.45 eV/atom
E_tot: -6.555 eV per atom
Mass density: 10.59 g/cm3

Unit cell a=6.4472 b=7.7642 c=7.7642 alpha=80.07 beta=65.47 gamma=65.47
Last column: nearest neighbours and their distance in Å.
Atoms (fractional coordinates):
1 Th 0.9081 0.3441 0.8417  1 Fe 2.68
2 Th 0.2522 0.8417 0.6559  1 Fe 2.68
3 Th 0.7498 0.1583 0.3441  1 Fe 2.68
4 Th 0.0940 0.6559 0.1583  1 Fe 2.68
5 Th 0.5012 0.0000 0.0000  2 Fe 3.22, 4 Bi 3.23
6 Fe 0.0010 0.0000 0.0000  4 Th 2.68
7 Bi 0.4194 0.3947 0.7685  6 Th 3.23-3.43
8 Bi 0.8141 0.7685 0.6053  6 Th 3.23-3.43
9 Bi 0.1879 0.2315 0.3947  6 Th 3.23-3.43
10 Bi 0.5826 0.6053 0.2315  6 Th 3.23-3.43

***

2.
The following is a DFT calculation (GGA-PBE) of a geometry-optimized Th3Fe2Bi structure.

Properties
SG: Pmc2_1, No. 26
Energy of formation from the pure elements: -0.15 eV/atom
E_tot: -7.331 eV per atom
Mass density: 10.79 g/cm3

Unit cell a=3.9709 b=7.7181 c=10.2080 alpha=90.00 beta=90.00 gamma=90.00
Last column: nearest neighbours and their distance in Å.
Atoms (fractional coordinates):
1 Th 0.5000 0.1247 0.1357  3 Fe 3.01-3.11, 4 Bi 3.30-3.31
2 Th 0.5000 0.2176 0.7120  4 Fe 2.91-3.10
3 Th 0.0000 0.3414 0.4175  6 Fe 2.80-3.03
4 Th 0.5000 0.6247 0.8643  3 Fe 3.01-3.11, 4 Bi 3.30-3.31
5 Th 0.5000 0.7176 0.2880  4 Fe 2.91-3.10
6 Th 0.0000 0.8414 0.5825  6 Fe 2.80-3.03
7 Fe 0.0000 0.9880 0.3312  2 Fe 2.34
8 Fe 0.5000 0.0672 0.4371  2 Fe 2.34
9 Fe 0.0000 0.4880 0.6688  2 Fe 2.34
10 Fe 0.5000 0.5672 0.5629  2 Fe 2.34
11 Bi 0.0000 0.9624 0.9083  7 Th 3.30-3.45
12 Bi 0.0000 0.4624 0.0917  7 Th 3.30-3.45

***

3.
The following is a DFT calculation (GGA-PBE) of a geometry-optimized Th5Fe2Bi structure.

Properties
SG: I4/mcm, No. 140
Energy of formation from the pure elements: -0.19 eV/atom
E_tot: -7.427 eV per atom
Mass density: 11.41 g/cm3

Unit cell a=7.7586 b=7.7586 c=9.0215 alpha=115.47 beta=115.47 gamma=90.00
Last column: nearest neighbours and their distance in Å.
Atoms (fractional coordinates):
1 Th 0.5282 0.7171 0.7453  3 Fe 2.84-2.97
2 Th 0.7829 0.9718 0.2547  3 Fe 2.84-2.97
3 Th 0.0000 0.0000 0.0000  4 Fe 2.97
4 Th 0.5000 0.5000 0.0000  4 Fe 2.97
5 Th 0.2171 0.0282 0.7453  3 Fe 2.84-2.97
6 Th 0.7171 0.2171 0.7453  3 Fe 2.84-2.97
7 Th 0.0282 0.5282 0.7453  3 Fe 2.84-2.97
8 Th 0.2829 0.7829 0.2547  3 Fe 2.84-2.97
9 Th 0.9718 0.4718 0.2547  3 Fe 2.84-2.97
10 Th 0.4718 0.2829 0.2547  3 Fe 2.84-2.97
11 Fe 0.1456 0.3544 0.0000  8 Th 2.84-2.97
12 Fe 0.6456 0.1456 0.0000  8 Th 2.84-2.97
13 Fe 0.3544 0.8544 0.0000  8 Th 2.84-2.97
14 Fe 0.8544 0.6456 0.0000  8 Th 2.84-2.97
15 Bi 0.7500 0.7500 0.5000  10 Th 3.42-3.58
16 Bi 0.2500 0.2500 0.5000  10 Th 3.42-3.58

***

4.
The following is a DFT calculation (GGA-PBE) of a geometry-optimized Th8Fe2Bi structure.

Properties
SG: C2/m, No. 12
Energy of formation from the pure elements: -0.06 eV/atom
E_tot: -7.348 eV per atom
Mass density: 11.07 g/cm3

Unit cell a=6.2063 b=8.5096 c=8.5096 alpha=47.21 beta=97.47 gamma=97.47
Last column: nearest neighbours and their distance in Å.
Atoms (fractional coordinates):
1 Th 0.3796 0.3837 0.8856  2 Fe 2.78
2 Th 0.6204 0.1144 0.6163  2 Fe 2.78
3 Th 0.1062 0.7921 0.7921  1 Fe 2.70
4 Th 0.8938 0.2079 0.2079  1 Fe 2.70
5 Th 0.3796 0.8856 0.3837  2 Fe 2.78
6 Th 0.6204 0.6163 0.1144  2 Fe 2.78
7 Th 0.8585 0.5815 0.5815  1 Fe 2.70
8 Th 0.1415 0.4185 0.4185  1 Fe 2.70
9 Fe 0.6779 0.7290 0.7290  6 Th 2.70-2.78
10 Fe 0.3221 0.2710 0.2710  6 Th 2.70-2.78
11 Bi 0.0000 0.0000 0.0000  10 Th 3.38-3.78

***

5.
The following is a DFT calculation (GGA-PBE) of a geometry-optimized TiFe2Bi structure.

Properties
SG: I-42d, No. 122
Energy of formation from the pure elements: 0.52 eV/atom
E_tot: -6.656 eV per atom
Mass density: 8.39 g/cm3

Unit cell a=4.0064 b=4.0064 c=9.5241 alpha=77.86 beta=77.86 gamma=90.00
Last column: nearest neighbours and their distance in Å.
Atoms (fractional coordinates):
1 Ti 0.5000 0.5000 0.0000  4 Fe 2.59, 4 Bi 2.83
2 Ti 0.2500 0.7500 0.5000  4 Fe 2.59, 4 Bi 2.83
3 Bi 0.0000 0.0000 0.0000  4 Fe 2.79, 4 Ti 2.83
4 Bi 0.7500 0.2500 0.5000  4 Fe 2.79, 4 Ti 2.83
5 Fe 0.5597 0.1250 0.2500  2 Fe 2.49, 2 Ti 2.59, 2 Bi 2.79
6 Fe 0.1903 0.6250 0.2500  2 Fe 2.49, 2 Ti 2.59, 2 Bi 2.79
7 Fe 0.3750 0.4403 0.7500  2 Fe 2.49, 2 Ti 2.59, 2 Bi 2.79
8 Fe 0.8750 0.8097 0.7500  2 Fe 2.49, 2 Ti 2.59, 2 Bi 2.79

***

6.
The following is a DFT calculation (GGA-PBE) of a geometry-optimized Ti6FeBi3 structure.

Properties
SG: C2/m, No. 12
Energy of formation from the pure elements: 0.06 eV/atom
E_tot: -6.684 eV per atom
Mass density: 7.37 g/cm3

Unit cell a=7.3030 b=6.2796 c=6.2796 alpha=57.90 beta=67.05 gamma=67.05
Last column: nearest neighbours and their distance in Å.
Atoms (fractional coordinates):
1 Ti 0.3908 0.1418 0.6528  1 Fe 2.26
2 Ti 0.6092 0.3472 0.8582  1 Fe 2.26
3 Ti 0.6092 0.8582 0.3472  1 Fe 2.26
4 Ti 0.3908 0.6528 0.1418  1 Fe 2.26
5 Ti 0.2224 0.7110 0.7110  1 Fe 2.30
6 Ti 0.7776 0.2890 0.2890  1 Fe 2.30
7 Fe 0.5000 0.5000 0.5000  6 Ti 2.26-2.30
8 Bi 0.2210 0.2258 0.2258  7 Ti 2.94-3.10
9 Bi 0.7790 0.7742 0.7742  7 Ti 2.94-3.10
10 Bi 0.0000 0.0000 0.0000  6 Ti 2.85-2.96

***

7.
The following is a DFT calculation (GGA-PBE) of a geometry-optimized Ti3FeBi structure.

Properties
SG: Pm-3m, No. 221
Energy of formation from the pure elements: 0.04 eV/atom
E_tot: -7.169 eV per atom
Mass density: 7.19 g/cm3

Unit cell a=4.5515 b=4.5515 c=4.5515 alpha=90.00 beta=90.00 gamma=90.00
Last column: nearest neighbours and their distance in Å.
Atoms (fractional coordinates):
1 Ti 0.0000 0.5000 0.0000  2 Fe 2.28
2 Ti 0.0000 0.0000 0.5000  2 Fe 2.28
3 Ti 0.5000 0.0000 0.0000  2 Fe 2.28
4 Bi 0.5000 0.5000 0.5000  12 Ti 3.22
5 Fe 0.0000 0.0000 0.0000  6 Ti 2.28

***

8.
The following is a DFT calculation (GGA-PBE) of a geometry-optimized Ti4FeBi structure.

Properties
SG: Cmcm, No. 63
Energy of formation from the pure elements: 0.08 eV/atom
E_tot: -7.241 eV per atom
Mass density: 6.81 g/cm3

Unit cell a=4.8933 b=5.4701 c=8.6668 alpha=90.00 beta=106.40 gamma=90.00
Last column: nearest neighbours and their distance in Å.
Atoms (fractional coordinates):
1 Ti 0.8991 0.3222 0.7982  2 Fe 2.47
2 Ti 0.1009 0.8222 0.2018  2 Fe 2.47
3 Ti 0.4533 0.8222 0.9066  1 Fe 2.14
4 Ti 0.5467 0.3222 0.0934  1 Fe 2.14
5 Ti 0.6985 0.5746 0.3970  1 Fe 2.36
6 Ti 0.3015 0.0746 0.6030  1 Fe 2.36
7 Ti 0.6985 0.0699 0.3970  1 Fe 2.36
8 Ti 0.3015 0.5699 0.6030  1 Fe 2.36
9 Fe 0.5820 0.8222 0.1640  3 Ti 2.14-2.36
10 Fe 0.4180 0.3222 0.8360  3 Ti 2.14-2.36
11 Bi 0.8577 0.8223 0.7154  10 Ti 2.82-2.97
12 Bi 0.1423 0.3223 0.2846  10 Ti 2.82-2.97